## 1
Compound: TaCrFe
Source: Alexandria
Functional: PBE-GGA
Structure: relaxed

a = 4.2398 Å, b = 4.2398 Å, c = 2.6443 Å
α = 90.00°, β = 90.00°, γ = 120.00°
Closest atoms and distances in Å follow each position.
Element x y z (fractional)
Ta 0.0000 0.0000 0.0000  3 Fe 2.61, 3 Cr 2.62, 2 Ta 2.64
Cr 0.6667 0.3333 0.3487  3 Fe 2.58, 3 Ta 2.62, 2 Cr 2.64
Fe 0.3333 0.6667 0.6538  3 Cr 2.58, 3 Ta 2.61, 2 Fe 2.64



## 2
Compound: TaCrFe
Source: Alexandria
Functional: PBE-GGA
Structure: relaxed

a = 4.0353 Å, b = 4.0353 Å, c = 4.0353 Å
α = 60.00°, β = 60.00°, γ = 60.00°
Closest atoms and distances in Å follow each position.
Element x y z (fractional)
Ta 0.0000 0.0000 0.0000  4 Fe 2.47
Cr 0.5000 0.5000 0.5000  4 Fe 2.47
Fe 0.7500 0.7500 0.7500  4 Cr 2.47, 4 Ta 2.47



## 3
Compound: TaCrFe
Source: Alexandria
Functional: PBE-GGA
Structure: relaxed

a = 4.1408 Å, b = 4.1408 Å, c = 4.1408 Å
α = 60.00°, β = 60.00°, γ = 60.00°
Closest atoms and distances in Å follow each position.
Element x y z (fractional)
Ta 0.0000 0.0000 0.0000  4 Fe 2.54, 4 Cr 2.54
Cr 0.2500 0.2500 0.2500  4 Ta 2.54
Fe 0.7500 0.7500 0.7500  4 Ta 2.54



Which of them is least stable? Easy: 3.



## 1
Compound: Ta2CrFe
Source: Alexandria
Functional: PBE-GGA
Structure: relaxed

a = 3.1112 Å, b = 3.1112 Å, c = 6.1454 Å
α = 90.00°, β = 90.00°, γ = 90.00°
Closest atoms and distances in Å follow each position.
Element x y z (fractional)
Ta 0.0000 0.0000 0.0000  4 Fe 2.65, 4 Ta 2.85, 1 Cr 2.87
Ta 0.5000 0.5000 0.2948  4 Cr 2.64, 4 Ta 2.85, 1 Fe 2.86
Cr 0.0000 0.0000 0.5332  4 Fe 2.60, 5 Ta 2.64-2.87
Fe 0.5000 0.5000 0.7600  4 Cr 2.60, 5 Ta 2.65-2.86



## 2
Compound: Ta2CrFe
Source: Alexandria
Functional: PBE-GGA
Structure: relaxed

a = 4.3704 Å, b = 4.3704 Å, c = 4.3704 Å
α = 60.00°, β = 60.00°, γ = 60.00°
Closest atoms and distances in Å follow each position.
Element x y z (fractional)
Ta 0.0000 0.0000 0.0000  4 Cr 2.68, 4 Ta 2.68
Ta 0.2500 0.2500 0.2500  4 Ta 2.68, 4 Fe 2.68
Cr 0.7500 0.7500 0.7500  4 Ta 2.68, 4 Fe 2.68
Fe 0.5000 0.5000 0.5000  4 Cr 2.68, 4 Ta 2.68



Which of them is least stable? Easy: 2.



## 1
Compound: Ta2CrFe
Source: Alexandria
Functional: PBE-GGA
Structure: relaxed

a = 2.8140 Å, b = 2.8140 Å, c = 7.5363 Å
α = 90.00°, β = 90.00°, γ = 97.58°
Closest atoms and distances in Å follow each position.
Element x y z (fractional)
Ta 0.0000 0.0000 0.0000  4 Cr 2.73-2.92, 6 Ta 2.81-2.98
Ta 0.5000 0.5000 0.3102  4 Fe 2.69-2.88, 6 Ta 2.81-2.98
Cr 0.5000 0.5000 0.7340  4 Fe 2.23-2.45
Fe 0.0000 0.0000 0.5695  4 Cr 2.23-2.45



## 2
Compound: Ta2CrFe
Source: Alexandria
Functional: PBE-GGA
Structure: relaxed

a = 2.7733 Å, b = 4.3649 Å, c = 4.9835 Å
α = 90.00°, β = 101.08°, γ = 90.00°
Closest atoms and distances in Å follow each position.
Element x y z (fractional)
Ta 0.0000 0.0000 0.0000  2 Fe 2.57-2.65, 2 Cr 2.58, 4 Ta 2.77-2.80
Ta 0.2725 0.5000 0.7086  2 Cr 2.60-2.62, 2 Fe 2.60, 4 Ta 2.77-2.80
Cr 0.7545 0.5000 0.2157  4 Ta 2.58-2.62, 2 Fe 2.71, 2 Cr 2.77
Fe 0.5216 0.0000 0.4858  4 Ta 2.57-2.65, 2 Cr 2.71, 2 Fe 2.77



Which of them is least stable? Easy: 2.